DFT (GGA+U) results for a geometry-optimized CoTeF2 structure.

Cell: 9.2068 9.2068 9.2068 Å, 19.51 19.51 19.51°
With the nearest neighbours (Å) after each atom.
Sites, in units of the cell vectors:
F1 0.9357 0.9357 0.9357  1 Co 1.74
F2 0.0643 0.0643 0.0643  1 Co 1.74
Co1 0.0000 0.0000 0.0000  2 F 1.74
Te1 0.5000 0.5000 0.5000  6 Te 3.12, 6 F 3.31

Results
- Distance to the lowest polymorph of the same formula: 0.531 eV/atom
- E_tot: -3.902 eV per atom